(w)
# PBE-GGA B5C7, optimized geometry
data_B5C7
_chemical_formula_sum 'B5 C7'
_space_group_name_H-M_alt 'P 1'
_space_group_IT_number 1
_cell_length_a 4.680
_cell_length_b 4.680
_cell_length_c 7.861
_cell_angle_alpha 114.32
_cell_angle_beta 114.32
_cell_angle_gamma 31.32
loop_
_space_group_symop_operation_xyz
'x,y,z'
loop_
_atom_site_label
_atom_site_type_symbol
_atom_site_fract_x
_atom_site_fract_y
_atom_site_fract_z
B1 B 0.619 0.619 0.295
B2 B 0.322 0.322 0.179
B3 B 0.997 0.997 0.021
B4 B 0.509 0.509 0.858
B5 B 0.183 0.183 0.703
C1 C 0.493 0.493 0.385
C2 C 0.160 0.160 0.212
C3 C 0.822 0.822 0.027
C4 C 0.680 0.680 0.844
C5 C 0.341 0.341 0.651
C6 C 0.996 0.996 0.495
C7 C 0.879 0.879 0.580
# Symmetry ... No. 8

***

(x)
# PBE-GGA B5C7, optimized geometry
data_B5C7
_chemical_formula_sum 'B5 C7'
_space_group_name_H-M_alt 'P 1'
_space_group_IT_number 1
_cell_length_a 6.973
_cell_length_b 7.240
_cell_length_c 7.240
_cell_angle_alpha 159.78
_cell_angle_beta 141.35
_cell_angle_gamma 44.19
loop_
_space_group_symop_operation_xyz
'x,y,z'
loop_
_atom_site_label
_atom_site_type_symbol
_atom_site_fract_x
_atom_site_fract_y
_atom_site_fract_z
B1 B 0.994 0.334 0.660
B2 B 0.555 0.175 0.379
B3 B 0.089 0.109 0.980
B4 B 0.634 0.958 0.676
B5 B 0.981 0.675 0.306
C1 C 0.612 0.294 0.318
C2 C 0.016 0.994 0.022
C3 C 0.496 0.830 0.666
C4 C 0.147 0.795 0.352
C5 C 0.607 0.619 0.988
C6 C 0.488 0.505 0.983
C7 C 0.133 0.462 0.671
# Symmetry ... No. 8

***

What should be chosen as the most stable of them? Choose (w).

***

(w)
# PBE-GGA BeNi2Cl, optimized geometry
data_BeNi2Cl
_chemical_formula_sum 'Be1 Ni2 Cl1'
_space_group_name_H-M_alt 'P 1'
_space_group_IT_number 1
_cell_length_a 4.026
_cell_length_b 4.026
_cell_length_c 4.026
_cell_angle_alpha 60.00
_cell_angle_beta 60.00
_cell_angle_gamma 60.00
loop_
_space_group_symop_operation_xyz
'x,y,z'
loop_
_atom_site_label
_atom_site_type_symbol
_atom_site_fract_x
_atom_site_fract_y
_atom_site_fract_z
Ni1 Ni 0.250 0.250 0.250
Ni2 Ni 0.750 0.750 0.750
Be1 Be 0.000 0.000 0.000
Cl1 Cl 0.500 0.500 0.500
# Symmetry ... No. 225

***

(x)
# PBE-GGA BeNi2Cl, optimized geometry
data_BeNi2Cl
_chemical_formula_sum 'Be1 Ni2 Cl1'
_space_group_name_H-M_alt 'P 1'
_space_group_IT_number 1
_cell_length_a 2.787
_cell_length_b 2.787
_cell_length_c 7.722
_cell_angle_alpha 90.00
_cell_angle_beta 90.00
_cell_angle_gamma 116.06
loop_
_space_group_symop_operation_xyz
'x,y,z'
loop_
_atom_site_label
_atom_site_type_symbol
_atom_site_fract_x
_atom_site_fract_y
_atom_site_fract_z
Ni1 Ni 0.000 0.000 0.043
Ni2 Ni 0.500 0.500 0.282
Cl1 Cl 0.500 0.500 0.679
Be1 Be 0.000 0.000 0.496
# Symmetry ... No. 35

***

What should be chosen as the most stable of them? Choose (x).